No. 1
Ce3IrBr3, optimized geometry, DFT PBE; symmetry = I4_132; crystal system = cubic; raw formation energy = -1.3261 eV/atom; DFT total energy = -163.9 eV for the cell shown
1.0
9.779 0.000 -3.457
-4.889 8.468 -3.457
0.000 0.000 10.372
Ce Ir Br
12 4 12
direct
0.970 0.485 0.235 Ce
0.515 0.030 0.265 Ce
0.250 0.015 0.485 Ce
0.985 0.750 0.015 Ce
0.985 0.235 0.470 Ce
0.765 0.015 0.030 Ce
0.735 0.470 0.485 Ce
0.765 0.750 0.235 Ce
0.530 0.265 0.015 Ce
0.250 0.235 0.265 Ce
0.735 0.265 0.750 Ce
0.515 0.485 0.750 Ce
0.750 0.500 0.000 Ir
0.500 0.250 0.500 Ir
0.750 0.250 0.250 Ir
0.000 0.000 0.250 Ir
0.243 0.993 0.986 Br
0.750 0.757 0.743 Br
0.486 0.743 0.993 Br
0.007 0.250 0.993 Br
0.257 0.743 0.250 Br
0.493 0.507 0.250 Br
0.243 0.250 0.757 Br
0.257 0.514 0.507 Br
0.750 0.993 0.507 Br
0.014 0.507 0.757 Br
0.007 0.757 0.514 Br
0.493 0.986 0.743 Br

=====

No. 2
Ce7IrBr12, optimized geometry, DFT PBE; symmetry = R-3; crystal system = trigonal; raw formation energy = -1.5634 eV/atom; DFT total energy = -101.7 eV for the cell shown
1.0
9.107 -0.213 -2.784
-3.704 8.323 -2.784
-0.142 -0.213 9.522
Ce Ir Br
7 1 12
direct
0.964 0.676 0.882 Ce
0.324 0.118 0.036 Ce
0.118 0.036 0.324 Ce
0.500 0.500 0.500 Ce
0.882 0.964 0.676 Ce
0.676 0.882 0.964 Ce
0.036 0.324 0.118 Ce
0.000 0.000 0.000 Ir
0.925 0.314 0.781 Br
0.686 0.219 0.075 Br
0.476 0.159 0.387 Br
0.841 0.613 0.524 Br
0.219 0.075 0.686 Br
0.613 0.524 0.841 Br
0.387 0.476 0.159 Br
0.781 0.925 0.314 Br
0.159 0.387 0.476 Br
0.524 0.841 0.613 Br
0.314 0.781 0.925 Br
0.075 0.686 0.219 Br

=====

No. 3
Ce2IrBr, optimized geometry, DFT PBE; symmetry = P4/mmm; crystal system = tetragonal; raw formation energy = -0.9046 eV/atom; excess energy over the best structure of this formula in the dataset = 0.61 eV per formula unit; DFT total energy = -26.0 eV for the cell shown
1.0
-0.660 3.360 0.300
-2.772 -0.366 -1.999
-4.550 -1.482 6.582
Ir Br Ce
1 1 2
direct
0.500 0.500 0.000 Ir
0.500 0.500 0.500 Br
0.000 0.000 0.784 Ce
0.000 0.000 0.216 Ce

=====

No. 4
Ce2IrBr, optimized geometry, DFT PBE; symmetry = Pmmn; crystal system = orthorhombic; raw formation energy = -1.0048 eV/atom; excess energy over the best structure of this formula in the dataset = 0.20 eV per formula unit; DFT total energy = -52.8 eV for the cell shown
1.0
5.967 0.000 -0.001
0.000 4.038 0.003
0.008 -0.008 9.156
Ce Ir Br
4 2 2
direct
0.701 0.733 0.194 Ce
0.701 0.733 0.781 Ce
0.201 0.233 0.435 Ce
0.201 0.233 0.022 Ce
0.201 0.733 0.236 Ir
0.701 0.233 0.980 Ir
0.201 0.733 0.715 Br
0.701 0.233 0.501 Br

=====

No. 5
Ce2IrBr, optimized geometry, DFT PBE; symmetry = R3m; crystal system = trigonal; raw formation energy = -1.0299 eV/atom; excess energy over the best structure of this formula in the dataset = 0.10 eV per formula unit; DFT total energy = -26.5 eV for the cell shown
1.0
4.078 0.000 0.000
2.039 3.532 0.000
2.039 1.177 7.833
Ce Ir Br
2 1 1
direct
0.066 0.066 0.803 Ce
0.269 0.269 0.194 Ce
0.668 0.668 0.997 Ir
0.498 0.498 0.506 Br

=====

No. 6
CeIrBr, optimized geometry, DFT PBE; symmetry = P-3m1; crystal system = trigonal; raw formation energy = -1.1829 eV/atom; DFT total energy = -40.0 eV for the cell shown
1.0
-1.832 3.536 1.699
-2.446 -2.960 -1.995
-8.108 -7.724 7.331
Ce Ir Br
2 2 2
direct
0.330 0.660 0.170 Ce
0.670 0.340 0.830 Ce
0.171 0.343 0.995 Ir
0.829 0.657 0.005 Ir
0.827 0.655 0.339 Br
0.173 0.345 0.661 Br